Computed, not measured: a relaxed LiCrO2 crystal at the PBE with a Hubbard U level of DFT.

Cell: 2.956 2.956 9.939 Å, 90.00 90.00 120.00°
Positions (direct):
Li 0.333 0.667 0.000
Li 0.667 0.333 0.500
Cr 0.333 0.667 0.740
Cr 0.667 0.333 0.240
O 0.000 0.000 0.128
O 0.000 0.000 0.628
O 0.333 0.667 0.350
O 0.667 0.333 0.850

Crystal system: hexagonal
Relative energy among the computed polymorphs in eV/atom: 0.036